# LaMgOF2 (GGA-PBE, relaxed)
# E_form (uncorrected) = -2598.9 meV/atom
# Fermi-level density of states = 0.2968 states/eV per atom
# uncorrected energy = -5.643 eV/atom
# magnetic moment = 0.7 μB per formula unit
data_LaMgOF2
_chemical_formula_sum 'La1 Mg1 O1 F2'
_symmetry_space_group_name_H-M 'P 4/m m m'
_symmetry_Int_Tables_number 123
_symmetry_space_group_name_Hall '-P 4 2'
_cell_length_a 4.739
_cell_length_b 4.739
_cell_length_c 4.615
_cell_angle_alpha 90.00
_cell_angle_beta 90.00
_cell_angle_gamma 90.00
loop_
_atom_site_label
_atom_site_type_symbol
_atom_site_fract_x
_atom_site_fract_y
_atom_site_fract_z
La1 La 0.000 0.000 0.000
Mg1 Mg 0.500 0.500 0.500
O1 O 0.000 0.000 0.500
F1 F 0.000 0.500 0.000